(A)
SnOsI2N: relaxed, GGA-PBE.

Computed properties:
* mass density: 7.86 Mg/m³
* spin magnetization: 0.00 Bohr magnetons per cell

Cell: 5.6834 5.6834 3.7732 Å, 90.00 90.00 90.00°
Closest atoms and distances in Å follow each position.
Sites, in units of the cell vectors:
I: 0.0000 0.5000 0.0000  2 Os 2.84
I: 0.5000 0.0000 0.0000  2 Os 2.84
Os: 0.0000 0.0000 0.0000  2 N 1.89
Sn: 0.5000 0.5000 0.5000  8 I 3.41, 2 Sn 3.77
N: 0.0000 0.0000 0.5000  2 Os 1.89

=====

(B)
SnOsI2N: relaxed, GGA-PBE.

Computed properties:
* mass density: 6.89 Mg/m³
* spin magnetization: 3.63 Bohr magnetons per cell

Cell: 6.0308 6.0308 3.8209 Å, 90.00 90.00 90.00°
Closest atoms and distances in Å follow each position.
Sites, in units of the cell vectors:
I: 0.0000 0.5000 0.0000  2 Sn 3.02
I: 0.5000 0.0000 0.0000  2 Sn 3.02
Os: 0.5000 0.5000 0.5000  8 I 3.57, 2 Os 3.82
Sn: 0.0000 0.0000 0.0000  2 N 1.91
N: 0.0000 0.0000 0.5000  2 Sn 1.91

=====

It comes down to (A), which is 1313 meV/atom more stable than the next structure.

=====

(A)
TaOsIN2: relaxed, GGA-PBE.

Computed properties:
* mass density: 10.47 Mg/m³
* spin magnetization: 0.00 Bohr magnetons per cell

Cell: 3.8737 5.5588 3.8737 Å, 90.00 90.00 90.00°
Closest atoms and distances in Å follow each position.
Sites, in units of the cell vectors:
I: 0.5000 0.5000 0.5000  4 Ta 2.74
N: 0.0000 0.0000 0.5000  2 Os 1.94
N: 0.5000 0.0000 0.0000  2 Os 1.94
Os: 0.0000 0.0000 0.0000  4 N 1.94
Ta: 0.0000 0.5000 0.0000  4 I 2.74, 2 Os 2.78

=====

(B)
TaOsIN2: relaxed, GGA-PBE.

Computed properties:
* mass density: 9.24 Mg/m³
* spin magnetization: 2.83 Bohr magnetons per cell

Cell: 3.9874 3.9874 5.9492 Å, 90.00 90.00 90.00°
Closest atoms and distances in Å follow each position.
Sites, in units of the cell vectors:
I: 0.0000 0.0000 0.5000  4 Os 2.82, 2 Ta 2.97
N: 0.0000 0.5000 0.0000  2 Ta 1.99
N: 0.5000 0.0000 0.0000  2 Ta 1.99
Os: 0.5000 0.5000 0.5000  4 I 2.82
Ta: 0.0000 0.0000 0.0000  4 N 1.99

=====

It comes down to (A), which is 301 meV/atom more stable than the next structure.

=====

(A)
TaOsI2N: relaxed, GGA-PBE.

Computed properties:
* mass density: 9.42 Mg/m³
* spin magnetization: 2.77 Bohr magnetons per cell

Cell: 5.5259 5.5259 3.6904 Å, 90.00 90.00 90.00°
Closest atoms and distances in Å follow each position.
Sites, in units of the cell vectors:
I: 0.0000 0.5000 0.0000  2 Os 2.76
I: 0.5000 0.0000 0.0000  2 Os 2.76
N: 0.0000 0.0000 0.5000  2 Os 1.85
Os: 0.0000 0.0000 0.0000  2 N 1.85
Ta: 0.5000 0.5000 0.5000  8 I 3.32, 2 Ta 3.69

=====

(B)
TaOsI2N: relaxed, GGA-PBE.

Computed properties:
* mass density: 8.58 Mg/m³
* spin magnetization: 3.85 Bohr magnetons per cell

Cell: 5.6500 5.6500 3.8734 Å, 90.00 90.00 90.00°
Closest atoms and distances in Å follow each position.
Sites, in units of the cell vectors:
I: 0.0000 0.5000 0.0000  2 Ta 2.82
I: 0.5000 0.0000 0.0000  2 Ta 2.82
N: 0.0000 0.0000 0.5000  2 Ta 1.94
Os: 0.5000 0.5000 0.5000  8 I 3.43
Ta: 0.0000 0.0000 0.0000  2 N 1.94

=====

It comes down to (A), which is 139 meV/atom more stable than the next structure.